Below is a relaxed structure of LiCrOs2W, with properties calculated at the PBE level.

The structure belongs to space group P4/mmm (No. 123); the cell edges are 4.0629, 4.0629 and 4.1361 Å and the angles 90.00°, 90.00° and 90.00°. The asymmetric unit holds Li at (0.0000, 0.0000, 0.0000), Cr at (0.5000, 0.5000, 0.5000), Os at (0.0000, 0.5000, 0.0000) and W at (0.0000, 0.0000, 0.5000).

The calculation puts the electronic total energy at -8.06 eV/atom. Its crystal system is tetragonal. As for the total magnetization: 0.00 μB per formula unit. The density of states at the Fermi level is 5.3 states/eV per cell.